Entry 1:
Compound: TaCuReB
Source: OQMD
Functional: GGA-PBE
Structure: relaxed

Output
**Distance to the lowest polymorph of the same formula**: 88 meV/atom
**SG**: F-43m (216)

```
4
Lattice="0.000 3.005 3.005 3.005 0.000 3.005 3.005 3.005 0.000" Properties=species:S:1:pos:R:3 pbc="T T T"
Ta 0.000 0.000 0.000
Cu 3.005 3.005 3.005
Re 4.508 4.508 4.508
B 1.503 1.503 1.503
```

=====

Entry 2:
Compound: ScAlOs
Source: OQMD
Functional: GGA-PBE
Structure: relaxed

Output
**SG**: P4/mmm (123)

```
6
Lattice="3.209 0.000 0.000 0.000 3.209 0.000 0.000 0.000 9.648" Properties=species:S:1:pos:R:3 pbc="T T T"
Sc 0.000 0.000 1.531
Sc 0.000 0.000 8.117
Al 1.605 1.605 3.491
Al 1.605 1.605 6.157
Os 0.000 0.000 4.824
Os 1.605 1.605 0.000
```

=====

Entry 3:
Compound: GdTmIn
Source: OQMD
Functional: GGA-PBE
Structure: relaxed

Output
**Distance to the lowest polymorph of the same formula**: 0 meV/atom
**SG**: P6_3/mmc (194)

```
6
Lattice="5.366 0.000 0.000 -2.683 4.647 0.000 0.000 0.000 6.700" Properties=species:S:1:pos:R:3 pbc="T T T"
Gd 0.000 0.000 0.000
Gd 0.000 0.000 3.350
Tm 0.000 3.098 1.675
Tm 2.683 1.549 5.025
In 0.000 3.098 5.025
In 2.683 1.549 1.675
```

=====

Entry 4:
Compound: NdBiN2O
Source: OQMD
Functional: GGA-PBE
Structure: relaxed

Output
**SG**: Pmm2 (25)

```
5
Lattice="3.808 0.000 0.000 0.000 3.969 0.000 0.000 0.000 5.305" Properties=species:S:1:pos:R:3 pbc="T T T"
Nd 0.000 0.000 0.000
Bi 1.904 1.985 2.433
N 0.000 1.985 1.451
N 1.904 1.985 4.522
O 1.904 0.000 1.492
```

=====

Entry 5:
Compound: ReBiAsO
Source: OQMD
Functional: GGA-PBE
Structure: relaxed

Output
**Distance to the lowest polymorph of the same formula**: 26 meV/atom
**SG**: P4/nmm (129)

```
8
Lattice="3.971 0.000 0.000 0.000 3.971 0.000 0.000 0.000 9.126" Properties=species:S:1:pos:R:3 pbc="T T T"
Re 0.993 2.978 0.000
Re 2.978 0.993 0.000
Bi 0.993 0.993 3.299
Bi 2.978 2.978 5.827
As 0.993 0.993 7.561
As 2.978 2.978 1.565
O 0.993 2.978 4.563
O 2.978 0.993 4.563
```

=====

Entry 6:
Compound: Ho2ErGa3AgPd2
Source: OQMD
Functional: GGA-PBE
Structure: relaxed

Output
**SG**: Amm2 (38)

```
9
Lattice="3.669 0.000 0.000 0.000 6.522 3.768 0.000 -6.522 3.768" Properties=species:S:1:pos:R:3 pbc="T T T"
Ho 0.000 -3.863 3.768
Ho 0.000 3.863 3.768
Er 0.000 0.000 4.608
Ga 1.835 -1.765 2.558
Ga 1.835 1.765 2.558
Ga 1.835 0.000 7.030
Ag 0.000 0.000 1.539
Pd 1.835 -2.166 5.303
Pd 1.835 2.166 5.303
```

=====

Entry 7:
Compound: ZrFeNiSb
Source: OQMD
Functional: GGA-PBE
Structure: relaxed

Output
**Distance to the lowest polymorph of the same formula**: 0 meV/atom
**SG**: F-43m (216)

```
4
Lattice="0.000 3.175 3.175 3.175 0.000 3.175 3.175 3.175 0.000" Properties=species:S:1:pos:R:3 pbc="T T T"
Zr 0.000 0.000 0.000
Fe 4.762 4.762 4.762
Ni 1.587 1.587 1.587
Sb 3.175 3.175 3.175
```

=====

Entry 8:
Compound: SiOsNO
Source: OQMD
Functional: GGA-PBE
Structure: relaxed

Output
**Distance to the lowest polymorph of the same formula**: 870 meV/atom
**SG**: P4/nmm (129)

```
8
Lattice="3.682 0.000 0.000 0.000 3.682 0.000 0.000 0.000 7.241" Properties=species:S:1:pos:R:3 pbc="T T T"
Si 0.920 0.920 0.899
Si 2.761 2.761 6.342
Os 0.920 2.761 3.621
Os 2.761 0.920 3.621
N 0.920 0.920 4.547
N 2.761 2.761 2.695
O 0.920 2.761 0.000
O 2.761 0.920 0.000
```

=====

Number 1: calculated density 13.5 g/cm³, raw total energy -31.7 eV for the cell shown, M_tot 0.000 Bohr magnetons per cell. Number 2: calculated density 8.8 g/cm³, raw total energy -45.4 eV for the cell shown, M_tot 0.002 Bohr magnetons per cell. Number 3: calculated density 8.8 g/cm³, raw total energy -25.8 eV for the cell shown, M_tot 0.045 Bohr magnetons per cell. Number 4: calculated density 8.2 g/cm³, raw total energy -32.8 eV for the cell shown, M_tot 0.000 Bohr magnetons per cell. Number 5: calculated density 11.2 g/cm³, raw total energy -54.3 eV for the cell shown, M_tot 0.003 Bohr magnetons per cell. Number 6: calculated density 9.5 g/cm³, raw total energy -42.8 eV for the cell shown, M_tot 0.023 Bohr magnetons per cell. Number 7: calculated density 8.5 g/cm³, raw total energy -27.6 eV for the cell shown, M_tot 1.534 Bohr magnetons per cell. Number 8: calculated density 8.4 g/cm³, raw total energy -58.8 eV for the cell shown, M_tot 0.008 Bohr magnetons per cell.